No. 1
## InHg2 (meta-GGA SCAN)

Data for a PBEsol-optimized structure of InHg2.

Cell: 9.4271 9.4271 9.4271 Å, 60.00 60.00 60.00°
Closest atoms and distances in Å follow each position.
Sites, in units of the cell vectors:
In  0.2801  0.9066  0.9066  6 Hg 2.97
Hg  0.3215  0.6785  0.6785  2 In 2.97
In  0.3434  0.3434  0.9699  6 Hg 2.97
In  0.3434  0.9699  0.3434  6 Hg 2.97
Hg  0.6250  0.1250  0.1250  6 In 2.97
Hg  0.6785  0.3215  0.3215  2 In 2.97
Hg  0.9285  0.5715  0.9285  2 In 2.97
Hg  0.5715  0.9285  0.9285  2 In 2.97
Hg  0.3215  0.6785  0.3215  2 In 2.97
Hg  0.1250  0.6250  0.1250  6 In 2.97
Hg  0.6785  0.6785  0.3215  2 In 2.97
Hg  0.5715  0.5715  0.9285  2 In 2.97
In  0.9066  0.9066  0.9066  6 Hg 2.97
Hg  0.9285  0.5715  0.5715  2 In 2.97
Hg  0.5715  0.9285  0.5715  2 In 2.97
In  0.9066  0.2801  0.9066  6 Hg 2.97
Hg  0.1250  0.1250  0.1250  6 In 2.97
Hg  0.9285  0.9285  0.5715  2 In 2.97
In  0.9699  0.3434  0.3434  6 Hg 2.97
Hg  0.1250  0.1250  0.6250  6 In 2.97
Hg  0.3215  0.3215  0.6785  2 In 2.97
Hg  0.6785  0.3215  0.6785  2 In 2.97
In  0.3434  0.3434  0.3434  6 Hg 2.97
In  0.9066  0.9066  0.2801  6 Hg 2.97

Values from the calculation:
Size of the total moment (μB/f.u.): 0.00
ΔH_f (0 K) (eV/atom): 0.014
Density of states at the Fermi level (states/eV per cell): 6.17

***

No. 2
## NiMo2W (meta-GGA SCAN)

Data for a PBEsol-optimized structure of NiMo2W.

Cell: 2.6576 2.6576 8.3595 Å, 90.00 90.00 105.60°
Closest atoms and distances in Å follow each position.
Sites, in units of the cell vectors:
Mo  0.5000  0.5000  0.7336  2 Ni 2.53, 6 Mo 2.66-2.74
Ni  0.0000  0.0000  0.5000  2 W 2.52, 2 Mo 2.53, 4 Ni 2.66
W  0.5000  0.5000  0.2671  2 Ni 2.52, 4 W 2.66, 2 Mo 2.76
Mo  0.0000  0.0000  0.9994  6 Mo 2.66-2.74, 2 W 2.76

Values from the calculation:
Size of the total moment (μB/f.u.): 0.00
Energy above the lowest structure with this stoichiometry (eV per atom): 0.006
ΔH_f (0 K) (eV/atom): 0.078
Density of states at the Fermi level (states/eV per cell): 3.01

***

No. 3
## YTi2CuBi (meta-GGA SCAN)

Data for a PBEsol-optimized structure of YTi2CuBi.

Cell: 4.6624 4.6624 5.1238 Å, 90.00 90.00 90.00°
Closest atoms and distances in Å follow each position.
Sites, in units of the cell vectors:
Cu  0.0000  0.0000  0.0000  4 Ti 2.33, 2 Y 2.56
Y  0.0000  0.0000  0.5000  2 Cu 2.56
Ti  0.0000  0.5000  0.0000  2 Cu 2.33
Bi  0.5000  0.5000  0.5000  4 Y 3.30, 8 Ti 3.46
Ti  0.5000  0.0000  0.0000  2 Cu 2.33

Values from the calculation:
Size of the total moment (μB/f.u.): 1.54
ΔH_f (0 K) (eV/atom): 0.074
Density of states at the Fermi level (states/eV per cell): 4.26

***

No. 4
## Mn2ReAs (meta-GGA SCAN)

Data for a PBEsol-optimized structure of Mn2ReAs.

Cell: 3.6765 3.6765 4.5539 Å, 113.81 113.81 90.00°
Closest atoms and distances in Å follow each position.
Sites, in units of the cell vectors:
As  0.0000  0.0000  0.0000  4 Re 2.60, 8 Mn 2.62
Mn  0.2500  0.7500  0.5000  4 Mn 2.60, 4 As 2.62, 4 Re 2.62
Re  0.5000  0.5000  0.0000  4 As 2.60, 8 Mn 2.62
Mn  0.7500  0.2500  0.5000  4 Mn 2.60, 4 As 2.62, 4 Re 2.62

Values from the calculation:
Size of the total moment (μB/f.u.): 4.23
ΔH_f (0 K) (eV/atom): 0.103
Density of states at the Fermi level (states/eV per cell): 2.66

***

No. 5
## SrCuSb2 (meta-GGA SCAN)

Data for a PBEsol-optimized structure of SrCuSb2.

Cell: 4.6250 4.6250 6.1913 Å, 68.07 68.07 60.00°
Closest atoms and distances in Å follow each position.
Sites, in units of the cell vectors:
Cu  0.5000  0.5000  0.5000  6 Sb 2.78
Sb  0.7865  0.7865  0.6404  3 Cu 2.78, 3 Sb 3.10
Sb  0.2135  0.2135  0.3596  3 Cu 2.78, 3 Sb 3.10
Sr  0.0000  0.0000  0.0000  8 Sb 3.34-3.58

Values from the calculation:
Size of the total moment (μB/f.u.): 0.00
Electronic total energy (eV/atom): -28.29
Density of states at the Fermi level (states/eV per cell): 1.86

***

No. 6
## Dy2CuO4 (meta-GGA SCAN)

Data for a PBEsol-optimized structure of Dy2CuO4.

Cell: 3.8173 3.8173 6.3654 Å, 107.45 107.45 90.00°
Closest atoms and distances in Å follow each position.
Sites, in units of the cell vectors:
O  0.2500  0.7500  0.5000  4 Dy 2.22
O  0.0000  0.5000  0.0000  2 Cu 1.91
Cu  0.0000  0.0000  0.0000  4 O 1.91
Dy  0.3491  0.3491  0.6982  4 O 2.22
Dy  0.6509  0.6509  0.3018  4 O 2.22
O  0.5000  0.0000  0.0000  2 Cu 1.91
O  0.7500  0.2500  0.5000  4 Dy 2.22

Values from the calculation:
Size of the total moment (μB/f.u.): 0.00
Electronic total energy (eV/atom): -22.39
Density of states at the Fermi level (states/eV per cell): 0.41

***

No. 7
## SrBe3Rh (meta-GGA SCAN)

Data for a PBEsol-optimized structure of SrBe3Rh.

Cell: 4.3450 4.3450 4.3450 Å, 90.00 90.00 90.00°
Closest atoms and distances in Å follow each position.
Sites, in units of the cell vectors:
Be  0.0000  0.0000  0.5000  2 Rh 2.17
Be  0.0000  0.5000  0.0000  2 Rh 2.17
Be  0.5000  0.0000  0.0000  2 Rh 2.17
Sr  0.5000  0.5000  0.5000  12 Be 3.07
Rh  0.0000  0.0000  0.0000  6 Be 2.17

Values from the calculation:
Size of the total moment (μB/f.u.): 0.00
ΔH_f (0 K) (eV/atom): -0.189
Density of states at the Fermi level (states/eV per cell): 1.99

***

No. 8
## SrMgAu2 (meta-GGA SCAN)

Data for a PBEsol-optimized structure of SrMgAu2.

Cell: 3.5086 3.5086 7.0956 Å, 90.00 90.00 90.00°
Closest atoms and distances in Å follow each position.
Sites, in units of the cell vectors:
Au  0.0000  0.0000  0.2030  4 Mg 2.87, 1 Au 2.88
Au  0.0000  0.0000  0.7970  4 Mg 2.87, 1 Au 2.88
Mg  0.5000  0.5000  0.0000  8 Au 2.87
Sr  0.5000  0.5000  0.5000  8 Au 3.25, 4 Sr 3.51, 2 Mg 3.55

Values from the calculation:
Size of the total moment (μB/f.u.): 0.00
ΔH_f (0 K) (eV/atom): -0.773
Density of states at the Fermi level (states/eV per cell): 1.80

***

No. 9
## BaHfS3 (meta-GGA SCAN)

Data for a PBEsol-optimized structure of BaHfS3.

Cell: 4.9445 4.9445 4.9445 Å, 90.00 90.00 90.00°
Closest atoms and distances in Å follow each position.
Sites, in units of the cell vectors:
S  0.5000  0.0000  0.0000  2 Hf 2.47
S  0.0000  0.0000  0.5000  2 Hf 2.47
Ba  0.5000  0.5000  0.5000  12 S 3.50
S  0.0000  0.5000  0.0000  2 Hf 2.47
Hf  0.0000  0.0000  0.0000  6 S 2.47

Values from the calculation:
Size of the total moment (μB/f.u.): 0.00
Electronic total energy (eV/atom): -28.30

***

No. 10
## CaYZn4 (meta-GGA SCAN)

Data for a PBEsol-optimized structure of CaYZn4.

Cell: 5.3967 5.3967 5.3967 Å, 60.00 60.00 60.00°
Closest atoms and distances in Å follow each position.
Sites, in units of the cell vectors:
Zn  0.3742  0.8774  0.3742  6 Zn 2.68-2.72
Zn  0.3742  0.3742  0.3742  6 Zn 2.68-2.72
Ca  0.7500  0.7500  0.7500  12 Zn 3.17, 4 Y 3.30
Zn  0.3742  0.3742  0.8774  6 Zn 2.68-2.72
Y  0.0000  0.0000  0.0000  12 Zn 3.16, 4 Ca 3.30
Zn  0.8774  0.3742  0.3742  6 Zn 2.68-2.72

Values from the calculation:
Size of the total moment (μB/f.u.): 0.01
ΔH_f (0 K) (eV/atom): -0.371
Density of states at the Fermi level (states/eV per cell): 2.73

***

No. 11
## CdRePt2 (meta-GGA SCAN)

Data for a PBEsol-optimized structure of CdRePt2.

Cell: 2.7662 2.7662 8.1594 Å, 90.00 90.00 90.00°
Closest atoms and distances in Å follow each position.
Sites, in units of the cell vectors:
Pt  0.0000  0.0000  0.7695  4 Re 2.71, 4 Pt 2.77, 4 Cd 2.94
Re  0.5000  0.5000  0.0000  8 Pt 2.71, 4 Re 2.77
Cd  0.5000  0.5000  0.5000  4 Cd 2.77, 8 Pt 2.94
Pt  0.0000  0.0000  0.2305  4 Re 2.71, 4 Pt 2.77, 4 Cd 2.94

Values from the calculation:
Size of the total moment (μB/f.u.): 0.00
ΔH_f (0 K) (eV/atom): -0.218
Density of states at the Fermi level (states/eV per cell): 2.18

***

No. 12
## Hf2ScGa2 (meta-GGA SCAN)

Data for a PBEsol-optimized structure of Hf2ScGa2.

Cell: 3.7186 7.1277 7.1277 Å, 90.00 90.00 90.00°
Closest atoms and distances in Å follow each position.
Sites, in units of the cell vectors:
Ga  0.0000  0.6247  0.1247  1 Ga 2.51, 2 Hf 2.75
Hf  0.5000  0.1744  0.6744  6 Ga 2.75-2.85
Ga  0.0000  0.8753  0.6247  1 Ga 2.51, 2 Hf 2.75
Sc  0.0000  0.0000  0.0000  4 Ga 2.82
Hf  0.5000  0.6744  0.8256  6 Ga 2.75-2.85
Hf  0.5000  0.8256  0.3256  6 Ga 2.75-2.85
Ga  0.0000  0.1247  0.3753  1 Ga 2.51, 2 Hf 2.75
Sc  0.0000  0.5000  0.5000  4 Ga 2.82
Hf  0.5000  0.3256  0.1744  6 Ga 2.75-2.85
Ga  0.0000  0.3753  0.8753  1 Ga 2.51, 2 Hf 2.75

Values from the calculation:
Size of the total moment (μB/f.u.): 0.00
ΔH_f (0 K) (eV/atom): -0.532
Density of states at the Fermi level (states/eV per cell): 10.39

***

No. 13
## YHgCl (meta-GGA SCAN)

Data for a PBEsol-optimized structure of YHgCl.

Cell: 3.3967 3.3967 6.8315 Å, 104.39 104.39 90.00°
Closest atoms and distances in Å follow each position.
Sites, in units of the cell vectors:
Hg  0.6911  0.6911  0.3823  4 Y 3.13, 4 Hg 3.40, 1 Cl 3.45
Cl  0.9611  0.9611  0.9221  4 Y 2.80
Y  0.3478  0.3478  0.6956  4 Cl 2.80, 4 Hg 3.13

Values from the calculation:
Size of the total moment (μB/f.u.): 0.00
Electronic total energy (eV/atom): -35.72
Density of states at the Fermi level (states/eV per cell): 2.64

***

No. 14
## TlSi2Se (meta-GGA SCAN)

Data for a PBEsol-optimized structure of TlSi2Se.

Cell: 3.6964 3.6964 7.3250 Å, 75.39 75.39 60.00°
Closest atoms and distances in Å follow each position.
Sites, in units of the cell vectors:
Tl  0.5000  0.5000  0.5000  6 Si 2.86
Se  0.0000  0.0000  0.0000  6 Si 2.66
Si  0.7425  0.7425  0.7725  3 Se 2.66, 3 Tl 2.86
Si  0.2575  0.2575  0.2275  3 Se 2.66, 3 Tl 2.86

Values from the calculation:
Size of the total moment (μB/f.u.): 0.00
Energy above the lowest structure with this stoichiometry (eV per atom): 0.305
Density of states at the Fermi level (states/eV per cell): 1.56

***

No. 15
## CaTa5 (meta-GGA SCAN)

Data for a PBEsol-optimized structure of CaTa5.

Cell: 2.7456 5.9699 7.3860 Å, 102.42 90.00 103.29°
Closest atoms and distances in Å follow each position.
Sites, in units of the cell vectors:
Ta  0.7367  0.4735  0.9665  3 Ta 2.75-2.97, 1 Ca 2.94
Ta  0.3958  0.7916  0.3072  8 Ta 2.75-3.07
Ta  0.0627  0.1254  0.6184  7 Ta 2.75-3.00, 1 Ca 2.95
Ca  0.9910  0.9821  0.9780  2 Ca 2.75, 2 Ta 2.94-2.95
Ta  0.3181  0.6361  0.6369  6 Ta 2.75-2.94
Ta  0.6623  0.3246  0.3263  10 Ta 2.75-3.07

Values from the calculation:
Size of the total moment (μB/f.u.): 0.00
ΔH_f (0 K) (eV/atom): 0.534
Density of states at the Fermi level (states/eV per cell): 6.05

***

No. 16
## BeMoRh2I (meta-GGA SCAN)

Data for a PBEsol-optimized structure of BeMoRh2I.

Cell: 4.6951 4.6951 4.8395 Å, 90.00 90.00 90.00°
Closest atoms and distances in Å follow each position.
Sites, in units of the cell vectors:
Mo  0.0000  0.0000  0.5000  2 I 2.42
Be  0.5000  0.5000  0.5000  4 Mo 3.32, 8 Rh 3.37
Rh  0.5000  0.0000  0.0000  2 I 2.35
Rh  0.0000  0.5000  0.0000  2 I 2.35
I  0.0000  0.0000  0.0000  4 Rh 2.35, 2 Mo 2.42

Values from the calculation:
Size of the total moment (μB/f.u.): 1.39
Electronic total energy (eV/atom): -26.90
Density of states at the Fermi level (states/eV per cell): 3.87

***

No. 17
## Ba2TaOs (meta-GGA SCAN)

Data for a PBEsol-optimized structure of Ba2TaOs.

Cell: 3.4240 3.4240 9.9895 Å, 90.00 90.00 90.00°
Closest atoms and distances in Å follow each position.
Sites, in units of the cell vectors:
Ba  0.5000  0.5000  0.3245  1 Ta 3.42, 4 Ba 3.42, 4 Os 3.45
Os  0.0000  0.0000  0.5702  4 Ta 2.61
Ba  0.0000  0.0000  0.9388  4 Ba 3.42, 4 Ta 3.64, 1 Os 3.68
Ta  0.5000  0.5000  0.6666  4 Os 2.61

Values from the calculation:
Size of the total moment (μB/f.u.): 0.00
Energy above the lowest structure with this stoichiometry (eV per atom): 0.000
ΔH_f (0 K) (eV/atom): 0.367
Density of states at the Fermi level (states/eV per cell): 3.47

***

No. 18
## TeRu2Cl2 (meta-GGA SCAN)

Data for a PBEsol-optimized structure of TeRu2Cl2.

Cell: 4.0106 4.0106 6.1907 Å, 108.90 108.90 90.00°
Closest atoms and distances in Å follow each position.
Sites, in units of the cell vectors:
Ru  0.6037  0.6037  0.2074  1 Ru 2.28
Te  0.0000  0.0000  0.0000  8 Ru 3.06, 8 Cl 3.40
Cl  0.7500  0.2500  0.5000  4 Ru 2.57, 4 Cl 2.84
Cl  0.2500  0.7500  0.5000  4 Ru 2.57, 4 Cl 2.84
Ru  0.3963  0.3963  0.7926  1 Ru 2.28

Values from the calculation:
Size of the total moment (μB/f.u.): 0.00
Electronic total energy (eV/atom): -24.06
Density of states at the Fermi level (states/eV per cell): 4.54

***

No. 19
## LiMnPO4 (meta-GGA SCAN)

Data for a PBEsol-optimized structure of LiMnPO4.

Cell: 4.8172 5.3339 6.3475 Å, 90.00 90.00 116.84°
Closest atoms and distances in Å follow each position.
Sites, in units of the cell vectors:
O  0.7747  0.2667  0.0480  1 P 1.53
P  0.3168  0.6256  0.7500  4 O 1.53-1.59
P  0.6912  0.3744  0.2500  4 O 1.53-1.59
O  0.7747  0.2667  0.4520  1 P 1.53
Mn  0.9884  0.0000  0.5000  6 O 2.12-2.30
Mn  0.9884  0.0000  0.0000  6 O 2.12-2.30
O  0.5080  0.7333  0.9520  1 P 1.53
O  0.2005  0.2948  0.7500  1 P 1.59
O  0.5080  0.7333  0.5480  1 P 1.53
O  0.0509  0.7172  0.7500  1 P 1.56
O  0.3337  0.2828  0.2500  1 P 1.56
Li  0.3319  0.6533  0.2500  4 O 1.98-2.19
O  0.9057  0.7052  0.2500  1 P 1.59
Li  0.6786  0.3467  0.7500  4 O 1.98-2.19

Values from the calculation:
Size of the total moment (μB/f.u.): 5.00
Energy above the lowest structure with this stoichiometry (eV per atom): 0.062
Density of states at the Fermi level (states/eV per cell): 0.00

***

No. 20
## InRh2Br (meta-GGA SCAN)

Data for a PBEsol-optimized structure of InRh2Br.

Cell: 3.0800 4.5586 5.2468 Å, 103.40 90.00 109.74°
Closest atoms and distances in Å follow each position.
Sites, in units of the cell vectors:
Rh  0.2493  0.4986  0.2506  3 In 2.70-2.78, 3 Br 2.71-2.77
In  0.5000  0.0000  0.0000  6 Rh 2.70-2.78
Br  0.0000  0.0000  0.5000  6 Rh 2.71-2.77
Rh  0.7507  0.5014  0.7494  3 In 2.70-2.78, 3 Br 2.71-2.77

Values from the calculation:
Size of the total moment (μB/f.u.): 0.00
Energy above the lowest structure with this stoichiometry (eV per atom): 0.058
Density of states at the Fermi level (states/eV per cell): 4.51